A plane-wave DFT calculation with PBE was carried out for a relaxed structure of CaPrPtO4.

## Properties
Fermi-level density of states (states/eV/f.u.): 4.23
E_form (uncorrected) (eV per formula unit): -14.21
VASP energy (eV/f.u.): -46.9
Mass density (g cm⁻³): 6.18

Cell lengths 6.376, 7.270, 10.205 Å; angles 90.00, 90.00, 90.00 degrees
Space group Imma (No. 74)
One atom of each set of equivalent atoms:
Ca  0.000  0.250  0.204 [4 per cell]
Pr  0.000  0.000  0.500 [4 per cell]
Pt  0.250  0.250  0.750 [4 per cell]
O  0.000  0.080  0.739 [8 per cell]
O  0.207  0.250  0.415 [8 per cell]